# Li2Tl2Pd3, optimized geometry, DFT GGA-PBE
data_Li2Tl2Pd3
_cell_length_a 13.059
_cell_length_b 3.037
_cell_length_c 6.752
_cell_angle_alpha 90.00
_cell_angle_beta 114.78
_cell_angle_gamma 90.00
_symmetry_space_group_name_H-M 'C 1 2/m 1'
_symmetry_Int_Tables_number 12
loop_
_symmetry_equiv_pos_as_xyz
'x,y,z'
'-x,-y,-z'
'-x,y,-z'
'x,-y,z'
'x+1/2,y+1/2,z'
'-x+1/2,-y+1/2,-z'
'-x+1/2,y+1/2,-z'
'x+1/2,-y+1/2,z'
loop_
_atom_site_label
_atom_site_type_symbol
_atom_site_fract_x
_atom_site_fract_y
_atom_site_fract_z
_atom_site_occupancy
Li1 Li 0.092 0.000 0.418 1
Tl1 Tl 0.125 0.500 0.813 1
Pd1 Pd 0.000 0.000 0.000 1
Pd2 Pd 0.208 0.500 0.278 1
# calculated formation energy = -22.96 kJ/mol of atoms
# D(E_F) = 0.27 states/eV/atom

# Li3Tl3Pd2, optimized geometry, DFT GGA-PBE
data_Li3Tl3Pd2
_cell_length_a 7.3053
_cell_length_b 7.3053
_cell_length_c 9.9316
_cell_angle_alpha 90.00
_cell_angle_beta 90.00
_cell_angle_gamma 120.00
_symmetry_space_group_name_H-M 'R 3 2'
_symmetry_Int_Tables_number 155
_symmetry_space_group_name_Hall 'R 3 2"'
loop_
_atom_site_label
_atom_site_type_symbol
_atom_site_fract_x
_atom_site_fract_y
_atom_site_fract_z
_atom_site_occupancy
Li1 Li 0.0000 0.2582 0.0000 1
Tl1 Tl 0.0000 0.7330 0.5000 1
Pd1 Pd 0.0000 0.0000 0.2536 1
# calculated formation energy = -23.27 kJ/mol of atoms
# D(E_F) = 0.56 states/eV/atom

# Li3Tl2Pd, optimized geometry, DFT GGA-PBE
data_Li3Tl2Pd
_cell_length_a 4.643
_cell_length_b 14.132
_cell_length_c 6.553
_cell_angle_alpha 90.00
_cell_angle_beta 90.00
_cell_angle_gamma 90.00
_symmetry_space_group_name_H-M 'C m m m'
_symmetry_Int_Tables_number 65
_symmetry_space_group_name_Hall '-C 2 2'
loop_
_atom_site_label
_atom_site_type_symbol
_atom_site_fract_x
_atom_site_fract_y
_atom_site_fract_z
_atom_site_occupancy
Li1 Li 0.000 0.000 0.232 1
Li2 Li 0.000 0.323 0.214 1
Tl1 Tl 0.000 0.164 0.500 1
Tl2 Tl 0.000 0.500 0.000 1
Tl3 Tl 0.000 0.500 0.500 1
Pd1 Pd 0.000 0.159 0.000 1
# calculated formation energy = -28.49 kJ/mol of atoms
# D(E_F) = 0.29 states/eV/atom

# LiTl2Pd, optimized geometry, DFT GGA-PBE
data_LiTl2Pd
_cell_length_a 3.317
_cell_length_b 3.776
_cell_length_c 15.387
_cell_angle_alpha 90.00
_cell_angle_beta 90.00
_cell_angle_gamma 90.00
_symmetry_space_group_name_H-M 'I m m m'
_symmetry_Int_Tables_number 71
_symmetry_space_group_name_Hall '-I 2 2'
loop_
_atom_site_label
_atom_site_type_symbol
_atom_site_fract_x
_atom_site_fract_y
_atom_site_fract_z
_atom_site_occupancy
Li1 Li 0.000 0.000 0.000 1
Tl1 Tl 0.000 0.000 0.325 1
Pd1 Pd 0.000 0.000 0.500 1
# calculated formation energy = -7.42 kJ/mol of atoms
# D(E_F) = 0.39 states/eV/atom

# Li3TlPd2, optimized geometry, DFT GGA-PBE
data_Li3TlPd2
_cell_length_a 5.427
_cell_length_b 4.374
_cell_length_c 8.025
_cell_angle_alpha 90.00
_cell_angle_beta 103.48
_cell_angle_gamma 90.00
_symmetry_space_group_name_H-M 'P 1 21/m 1'
_symmetry_Int_Tables_number 11
loop_
_symmetry_equiv_pos_as_xyz
'x,y,z'
'-x,-y,-z'
'-x,y+1/2,-z'
'x,-y+1/2,z'
loop_
_atom_site_label
_atom_site_type_symbol
_atom_site_fract_x
_atom_site_fract_y
_atom_site_fract_z
_atom_site_occupancy
Li1 Li 0.083 0.250 0.220 1
Li2 Li 0.162 0.250 0.560 1
Li3 Li 0.325 0.750 0.071 1
Tl1 Tl 0.414 0.750 0.749 1
Pd1 Pd 0.148 0.250 0.899 1
Pd2 Pd 0.319 0.750 0.391 1
# calculated formation energy = -35.55 kJ/mol of atoms
# D(E_F) = 0.18 states/eV/atom

# LiTl2Pd9, optimized geometry, DFT GGA-PBE
data_LiTl2Pd9
_cell_length_a 4.054
_cell_length_b 4.054
_cell_length_c 11.868
_cell_angle_alpha 90.00
_cell_angle_beta 90.00
_cell_angle_gamma 90.00
_symmetry_space_group_name_H-M 'P 4/m m m'
_symmetry_Int_Tables_number 123
_symmetry_space_group_name_Hall '-P 4 2'
loop_
_atom_site_label
_atom_site_type_symbol
_atom_site_fract_x
_atom_site_fract_y
_atom_site_fract_z
_atom_site_occupancy
Li1 Li 0.000 0.000 0.000 1
Tl1 Tl 0.000 0.000 0.327 1
Pd1 Pd 0.000 0.500 0.154 1
Pd2 Pd 0.000 0.500 0.500 1
Pd3 Pd 0.500 0.500 0.000 1
Pd4 Pd 0.500 0.500 0.325 1
# calculated formation energy = -18.32 kJ/mol of atoms
# D(E_F) = 1.20 states/eV/atom

# Li4Tl3Pd2, optimized geometry, DFT GGA-PBE
data_Li4Tl3Pd2
_cell_length_a 9.643
_cell_length_b 3.819
_cell_length_c 9.399
_cell_angle_alpha 90.00
_cell_angle_beta 107.34
_cell_angle_gamma 90.00
_symmetry_space_group_name_H-M 'C 1 2/m 1'
_symmetry_Int_Tables_number 12
loop_
_symmetry_equiv_pos_as_xyz
'x,y,z'
'-x,-y,-z'
'-x,y,-z'
'x,-y,z'
'x+1/2,y+1/2,z'
'-x+1/2,-y+1/2,-z'
'-x+1/2,y+1/2,-z'
'x+1/2,-y+1/2,z'
loop_
_atom_site_label
_atom_site_type_symbol
_atom_site_fract_x
_atom_site_fract_y
_atom_site_fract_z
_atom_site_occupancy
Li1 Li 0.020 0.000 0.318 1
Li2 Li 0.172 0.500 0.896 1
Tl1 Tl 0.000 0.000 0.000 1
Tl2 Tl 0.164 0.500 0.585 1
Pd1 Pd 0.174 0.500 0.205 1
# calculated formation energy = -27.79 kJ/mol of atoms
# D(E_F) = 0.42 states/eV/atom

# Li3Tl2Pd, optimized geometry, DFT GGA-PBE
data_Li3Tl2Pd
_cell_length_a 3.325
_cell_length_b 3.325
_cell_length_c 9.846
_cell_angle_alpha 90.00
_cell_angle_beta 90.00
_cell_angle_gamma 90.00
_symmetry_space_group_name_H-M 'P 4/m m m'
_symmetry_Int_Tables_number 123
_symmetry_space_group_name_Hall '-P 4 2'
loop_
_atom_site_label
_atom_site_type_symbol
_atom_site_fract_x
_atom_site_fract_y
_atom_site_fract_z
_atom_site_occupancy
Li1 Li 0.000 0.000 0.000 1
Li2 Li 0.000 0.000 0.370 1
Tl1 Tl 0.500 0.500 0.197 1
Pd1 Pd 0.500 0.500 0.500 1
# calculated formation energy = -29.48 kJ/mol of atoms
# D(E_F) = 0.23 states/eV/atom

# Li2TlPd5, optimized geometry, DFT GGA-PBE
data_Li2TlPd5
_cell_length_a 6.341
_cell_length_b 6.341
_cell_length_c 6.279
_cell_angle_alpha 90.00
_cell_angle_beta 90.00
_cell_angle_gamma 90.00
_symmetry_space_group_name_H-M 'I 4 m m'
_symmetry_Int_Tables_number 107
_symmetry_space_group_name_Hall 'I 4 -2'
loop_
_atom_site_label
_atom_site_type_symbol
_atom_site_fract_x
_atom_site_fract_y
_atom_site_fract_z
_atom_site_occupancy
Li1 Li 0.000 0.500 0.000 1
Tl1 Tl 0.000 0.000 0.001 1
Pd1 Pd 0.000 0.000 0.500 1
Pd2 Pd 0.250 0.250 0.250 1
# calculated formation energy = -30.44 kJ/mol of atoms
# D(E_F) = 0.58 states/eV/atom

# LiTl3Pd6, optimized geometry, DFT GGA-PBE
data_LiTl3Pd6
_cell_length_a 9.751
_cell_length_b 9.768
_cell_length_c 8.301
_cell_angle_alpha 90.00
_cell_angle_beta 90.00
_cell_angle_gamma 90.00
_symmetry_space_group_name_H-M 'C m c 21'
_symmetry_Int_Tables_number 36
loop_
_symmetry_equiv_pos_as_xyz
'x,y,z'
'-x,-y,z+1/2'
'-x,y,z'
'x,-y,z+1/2'
'x+1/2,y+1/2,z'
'-x+1/2,-y+1/2,z+1/2'
'-x+1/2,y+1/2,z'
'x+1/2,-y+1/2,z+1/2'
loop_
_atom_site_label
_atom_site_type_symbol
_atom_site_fract_x
_atom_site_fract_y
_atom_site_fract_z
_atom_site_occupancy
Li1 Li 0.000 0.178 0.000 1
Tl1 Tl 0.000 0.461 0.706 1
Tl2 Tl 0.186 0.127 0.519 1
Pd1 Pd 0.000 0.013 0.751 1
Pd2 Pd 0.000 0.264 0.309 1
Pd3 Pd 0.236 0.136 0.183 1
Pd4 Pd 0.247 0.386 0.349 1
# calculated formation energy = -16.84 kJ/mol of atoms
# D(E_F) = 0.47 states/eV/atom

# Li2TlPd4, optimized geometry, DFT GGA-PBE
data_Li2TlPd4
_cell_length_a 5.018
_cell_length_b 5.018
_cell_length_c 12.824
_cell_angle_alpha 90.00
_cell_angle_beta 90.00
_cell_angle_gamma 90.00
_symmetry_space_group_name_H-M 'I 4/m m m'
_symmetry_Int_Tables_number 139
_symmetry_space_group_name_Hall '-I 4 2'
loop_
_atom_site_label
_atom_site_type_symbol
_atom_site_fract_x
_atom_site_fract_y
_atom_site_fract_z
_atom_site_occupancy
Li1 Li 0.000 0.000 0.104 1
Tl1 Tl 0.000 0.000 0.500 1
Pd1 Pd 0.000 0.000 0.295 1
Pd2 Pd 0.000 0.500 0.000 1
# calculated formation energy = 45.36 kJ/mol of atoms
# D(E_F) = 0.40 states/eV/atom

# Li2TlPd, optimized geometry, DFT GGA-PBE
data_Li2TlPd
_cell_length_a 3.309
_cell_length_b 3.309
_cell_length_c 6.058
_cell_angle_alpha 90.00
_cell_angle_beta 90.00
_cell_angle_gamma 90.00
_symmetry_space_group_name_H-M 'P 4/m m m'
_symmetry_Int_Tables_number 123
_symmetry_space_group_name_Hall '-P 4 2'
loop_
_atom_site_label
_atom_site_type_symbol
_atom_site_fract_x
_atom_site_fract_y
_atom_site_fract_z
_atom_site_occupancy
Li1 Li 0.000 0.000 0.214 1
Tl1 Tl 0.500 0.500 0.500 1
Pd1 Pd 0.500 0.500 0.000 1
# calculated formation energy = -32.34 kJ/mol of atoms
# D(E_F) = 0.35 states/eV/atom

# Li6TlPd, optimized geometry, DFT GGA-PBE
data_Li6TlPd
_cell_length_a 4.682
_cell_length_b 5.765
_cell_length_c 9.960
_cell_angle_alpha 90.00
_cell_angle_beta 90.00
_cell_angle_gamma 90.00
_symmetry_space_group_name_H-M 'A m m 2'
_symmetry_Int_Tables_number 38
loop_
_symmetry_equiv_pos_as_xyz
'x,y,z'
'-x,-y,z'
'-x,y,z'
'x,-y,z'
'x,y+1/2,z+1/2'
'-x,-y+1/2,z+1/2'
'-x,y+1/2,z+1/2'
'x,-y+1/2,z+1/2'
loop_
_atom_site_label
_atom_site_type_symbol
_atom_site_fract_x
_atom_site_fract_y
_atom_site_fract_z
_atom_site_occupancy
Li1 Li 0.000 0.000 0.000 1
Li2 Li 0.000 0.233 0.234 1
Li3 Li 0.500 0.000 0.655 1
Li4 Li 0.500 0.246 0.408 1
Tl1 Tl 0.000 0.000 0.489 1
Pd1 Pd 0.500 0.000 0.157 1
# calculated formation energy = -21.63 kJ/mol of atoms
# D(E_F) = 0.39 states/eV/atom

# Li2Tl5Pd12, optimized geometry, DFT GGA-PBE
data_Li2Tl5Pd12
_cell_length_a 15.070
_cell_length_b 5.525
_cell_length_c 9.954
_cell_angle_alpha 90.00
_cell_angle_beta 116.83
_cell_angle_gamma 90.00
_symmetry_space_group_name_H-M 'C 1 2/m 1'
_symmetry_Int_Tables_number 12
loop_
_symmetry_equiv_pos_as_xyz
'x,y,z'
'-x,-y,-z'
'-x,y,-z'
'x,-y,z'
'x+1/2,y+1/2,z'
'-x+1/2,-y+1/2,-z'
'-x+1/2,y+1/2,-z'
'x+1/2,-y+1/2,z'
loop_
_atom_site_label
_atom_site_type_symbol
_atom_site_fract_x
_atom_site_fract_y
_atom_site_fract_z
_atom_site_occupancy
Li1 Li 0.000 0.245 0.000 1
Tl1 Tl 0.000 0.000 0.500 1
Tl2 Tl 0.171 0.500 0.511 1
Tl3 Tl 0.187 0.500 0.021 1
Pd1 Pd 0.001 0.500 0.231 1
Pd2 Pd 0.002 0.000 0.225 1
Pd3 Pd 0.151 0.250 0.750 1
Pd4 Pd 0.167 0.248 0.257 1
# calculated formation energy = -12.20 kJ/mol of atoms
# D(E_F) = 0.57 states/eV/atom

# Li6TlPd6, optimized geometry, DFT GGA-PBE
data_Li6TlPd6
_cell_length_a 4.9990
_cell_length_b 4.9990
_cell_length_c 8.6335
_cell_angle_alpha 90.00
_cell_angle_beta 90.00
_cell_angle_gamma 120.00
_symmetry_space_group_name_H-M 'P 6/m m m'
_symmetry_Int_Tables_number 191
_symmetry_space_group_name_Hall '-P 6 2'
loop_
_atom_site_label
_atom_site_type_symbol
_atom_site_fract_x
_atom_site_fract_y
_atom_site_fract_z
_atom_site_occupancy
Li1 Li 0.0000 0.5000 0.2490 1
Tl1 Tl 0.0000 0.0000 0.5000 1
Pd1 Pd 0.0000 0.0000 0.1501 1
Pd2 Pd 0.3333 0.6667 0.0000 1
Pd3 Pd 0.3333 0.6667 0.5000 1
# calculated formation energy = -28.63 kJ/mol of atoms
# D(E_F) = 0.30 states/eV/atom

# LiTlPd, optimized geometry, DFT GGA-PBE
data_LiTlPd
_cell_length_a 4.5114
_cell_length_b 4.5114
_cell_length_c 3.0017
_cell_angle_alpha 90.00
_cell_angle_beta 90.00
_cell_angle_gamma 120.00
_symmetry_space_group_name_H-M 'P 3 m 1'
_symmetry_Int_Tables_number 156
loop_
_symmetry_equiv_pos_as_xyz
'x,y,z'
'-y,x-y,z'
'-x+y,-x,z'
'-y,-x,z'
'-x+y,y,z'
'x,x-y,z'
loop_
_atom_site_label
_atom_site_type_symbol
_atom_site_fract_x
_atom_site_fract_y
_atom_site_fract_z
_atom_site_occupancy
Li1 Li 0.0000 0.0000 0.0000 1
Tl1 Tl 0.3333 0.6667 0.6262 1
Pd1 Pd 0.6667 0.3333 0.2208 1
# calculated formation energy = -27.83 kJ/mol of atoms
# D(E_F) = 0.21 states/eV/atom

# Li5Tl6Pd, optimized geometry, DFT GGA-PBE
data_Li5Tl6Pd
_cell_length_a 4.928
_cell_length_b 6.850
_cell_length_c 7.729
_cell_angle_alpha 90.00
_cell_angle_beta 108.24
_cell_angle_gamma 90.00
_symmetry_space_group_name_H-M 'P 1 2/m 1'
_symmetry_Int_Tables_number 10
loop_
_symmetry_equiv_pos_as_xyz
'x,y,z'
'-x,-y,-z'
'-x,y,-z'
'x,-y,z'
loop_
_atom_site_label
_atom_site_type_symbol
_atom_site_fract_x
_atom_site_fract_y
_atom_site_fract_z
_atom_site_occupancy
Li1 Li 0.000 0.000 0.000 1
Li2 Li 0.331 0.000 0.661 1
Li3 Li 0.337 0.500 0.676 1
Tl1 Tl 0.167 0.253 0.333 1
Tl2 Tl 0.500 0.249 0.000 1
Pd1 Pd 0.000 0.500 0.000 1
# calculated formation energy = -21.23 kJ/mol of atoms
# D(E_F) = 0.28 states/eV/atom

# LiTl2Pd5, optimized geometry, DFT GGA-PBE
data_LiTl2Pd5
_cell_length_a 5.886
_cell_length_b 5.886
_cell_length_c 7.790
_cell_angle_alpha 90.00
_cell_angle_beta 90.00
_cell_angle_gamma 90.00
_symmetry_space_group_name_H-M 'I 4 m m'
_symmetry_Int_Tables_number 107
_symmetry_space_group_name_Hall 'I 4 -2'
loop_
_atom_site_label
_atom_site_type_symbol
_atom_site_fract_x
_atom_site_fract_y
_atom_site_fract_z
_atom_site_occupancy
Li1 Li 0.000 0.000 0.000 1
Tl1 Tl 0.000 0.500 0.001 1
Pd1 Pd 0.000 0.000 0.501 1
Pd2 Pd 0.250 0.250 0.251 1
# calculated formation energy = -28.96 kJ/mol of atoms
# D(E_F) = 0.47 states/eV/atom

# Li14TlPd, optimized geometry, DFT GGA-PBE
data_Li14TlPd
_cell_length_a 6.644
_cell_length_b 6.644
_cell_length_c 6.572
_cell_angle_alpha 90.00
_cell_angle_beta 90.00
_cell_angle_gamma 90.00
_symmetry_space_group_name_H-M 'P 4/m m m'
_symmetry_Int_Tables_number 123
_symmetry_space_group_name_Hall '-P 4 2'
loop_
_atom_site_label
_atom_site_type_symbol
_atom_site_fract_x
_atom_site_fract_y
_atom_site_fract_z
_atom_site_occupancy
Li1 Li 0.000 0.000 0.000 1
Li2 Li 0.000 0.500 0.000 1
Li3 Li 0.000 0.500 0.500 1
Li4 Li 0.234 0.234 0.268 1
Li5 Li 0.500 0.500 0.000 1
Tl1 Tl 0.500 0.500 0.500 1
Pd1 Pd 0.000 0.000 0.500 1
# calculated formation energy = -11.39 kJ/mol of atoms
# D(E_F) = 0.36 states/eV/atom

# Li8Tl3Pd, optimized geometry, DFT GGA-PBE
data_Li8Tl3Pd
_cell_length_a 9.257
_cell_length_b 9.496
_cell_length_c 5.424
_cell_angle_alpha 90.00
_cell_angle_beta 115.06
_cell_angle_gamma 90.00
_symmetry_space_group_name_H-M 'C 1 m 1'
_symmetry_Int_Tables_number 8
loop_
_symmetry_equiv_pos_as_xyz
'x,y,z'
'x,-y,z'
'x+1/2,y+1/2,z'
'x+1/2,-y+1/2,z'
loop_
_atom_site_label
_atom_site_type_symbol
_atom_site_fract_x
_atom_site_fract_y
_atom_site_fract_z
_atom_site_occupancy
Li1 Li 0.000 0.000 0.000 1
Li2 Li 0.010 0.500 0.975 1
Li3 Li 0.085 0.248 0.320 1
Li4 Li 0.151 0.000 0.653 1
Li5 Li 0.186 0.500 0.625 1
Li6 Li 0.411 0.267 0.618 1
Tl1 Tl 0.246 0.259 0.962 1
Tl2 Tl 0.345 0.000 0.357 1
Pd1 Pd 0.335 0.500 0.302 1
# calculated formation energy = -24.82 kJ/mol of atoms
# D(E_F) = 0.37 states/eV/atom